A) Below is GdDy2Cd after structural relaxation, with properties calculated at the GGA-PBE level.

Values from the calculation:
Total magnetic moment   7.26 Bohr magnetons per cell

a b c (Å): 5.4319 5.4319 3.8763
angles (deg): 90.00 90.00 90.00
Last column: nearest neighbours and their distance in Å.
Space group P4/mmm (No. 123)
Asymmetric unit:
Gd 0.0000 0.0000 0.0000 (multiplicity 1)  8 Dy 3.34
Dy 0.0000 0.5000 0.5000 (multiplicity 2)  4 Cd 3.34, 4 Gd 3.34
Cd 0.5000 0.5000 0.0000 (multiplicity 1)  8 Dy 3.34


B) Below is GdDy2Cd after structural relaxation, with properties calculated at the GGA-PBE level.

Values from the calculation:
Total magnetic moment   7.32 Bohr magnetons per cell

a b c (Å): 3.5913 3.5913 9.0436
angles (deg): 90.00 90.00 90.00
Last column: nearest neighbours and their distance in Å.
Space group P4/mmm (No. 123)
Asymmetric unit:
Gd 0.0000 0.0000 0.0000 (multiplicity 1)  8 Dy 3.55, 4 Gd 3.59
Dy 0.5000 0.5000 0.2745 (multiplicity 2)  4 Cd 3.26, 4 Gd 3.55, 4 Dy 3.59
Cd 0.0000 0.0000 0.5000 (multiplicity 1)  8 Dy 3.26, 4 Cd 3.59


C) Below is GdDy2Cd after structural relaxation, with properties calculated at the GGA-PBE level.

Values from the calculation:
Total magnetic moment   21.52 Bohr magnetons per cell

a b c (Å): 3.5671 3.5671 32.4939
angles (deg): 90.00 90.00 120.00
Last column: nearest neighbours and their distance in Å.
Space group R-3m (No. 166, hexagonal axes)
Asymmetric unit:
Gd 0.0000 0.0000 0.0000 (multiplicity 3)  6 Dy 3.56, 6 Gd 3.57
Dy 0.0000 0.0000 0.2441 (multiplicity 6)  3 Cd 3.25, 3 Gd 3.56, 6 Dy 3.57
Cd 0.0000 0.0000 0.5000 (multiplicity 3)  6 Dy 3.25, 6 Cd 3.57


D) Below is GdDy2Cd after structural relaxation, with properties calculated at the GGA-PBE level.

Values from the calculation:
Total magnetic moment   30.28 Bohr magnetons per cell

a b c (Å): 7.6903 7.6903 7.6903
angles (deg): 90.00 90.00 90.00
Last column: nearest neighbours and their distance in Å.
Space group Fm-3m (No. 225)
Asymmetric unit:
Gd 0.0000 0.0000 0.0000 (multiplicity 4)  8 Dy 3.33
Dy 0.2500 0.2500 0.2500 (multiplicity 8)  4 Cd 3.33, 4 Gd 3.33
Cd 0.0000 0.0000 0.5000 (multiplicity 4)  8 Dy 3.33


Stability check: which of them is most stable? B).


A) Below is GdDyCd after structural relaxation, with properties calculated at the GGA-PBE level.

Values from the calculation:
Total magnetic moment   7.40 Bohr magnetons per cell

a b c (Å): 5.2768 5.2768 3.5446
angles (deg): 90.00 90.00 120.00
Last column: nearest neighbours and their distance in Å.
Space group P3m1 (No. 156)
Asymmetric unit:
Gd 0.0000 0.0000 0.0000 (multiplicity 1)  3 Cd 3.24, 3 Dy 3.42, 2 Gd 3.54
Dy 0.6667 0.3333 0.5644 (multiplicity 1)  3 Cd 3.18, 3 Gd 3.42, 2 Dy 3.54
Cd 0.3333 0.6667 0.3088 (multiplicity 1)  3 Dy 3.18, 3 Gd 3.24, 2 Cd 3.54


B) Below is GdDyCd after structural relaxation, with properties calculated at the GGA-PBE level.

Values from the calculation:
Total magnetic moment   16.27 Bohr magnetons per cell

a b c (Å): 3.3604 3.3604 17.8951
angles (deg): 90.00 90.00 90.00
Last column: nearest neighbours and their distance in Å.
Space group I4mm (No. 107)
Asymmetric unit:
Gd 0.0000 0.0000 0.0000 (multiplicity 2)  1 Cd 3.25, 4 Gd 3.36, 4 Dy 3.46
Dy 0.0000 0.0000 0.6406 (multiplicity 2)  1 Cd 3.19, 4 Dy 3.36, 4 Gd 3.46
Cd 0.0000 0.0000 0.8187 (multiplicity 2)  1 Dy 3.19, 1 Gd 3.25, 4 Cd 3.36


Stability check: which of them is most stable? A).


A) Below is DyCdH after structural relaxation, with properties calculated at the GGA-PBE level.

Values from the calculation:
Total magnetic moment   0.38 Bohr magnetons per cell

a b c (Å): 3.1764 3.1764 11.5478
angles (deg): 90.00 90.00 90.00
Last column: nearest neighbours and their distance in Å.
Space group I4mm (No. 107)
Asymmetric unit:
Dy 0.0000 0.0000 0.0000 (multiplicity 2)  4 H 2.29
Cd 0.0000 0.0000 0.2815 (multiplicity 2)  1 H 2.95, 4 Cd 3.18, 1 Dy 3.25
H 0.0000 0.0000 0.5372 (multiplicity 2)  4 Dy 2.29


B) Below is DyCdH after structural relaxation, with properties calculated at the GGA-PBE level.

Values from the calculation:
Total magnetic moment   0.00 Bohr magnetons per cell

a b c (Å): 3.7027 3.7027 5.0334
angles (deg): 90.00 90.00 120.00
Last column: nearest neighbours and their distance in Å.
Space group P3m1 (No. 156)
Asymmetric unit:
Dy 0.0000 0.0000 0.0000 (multiplicity 1)  3 H 2.14
Cd 0.3333 0.6667 0.4998 (multiplicity 1)  6 H 3.29-3.31, 6 Dy 3.30
H 0.6667 0.3333 0.0024 (multiplicity 1)  3 Dy 2.14


C) Below is DyCdH after structural relaxation, with properties calculated at the GGA-PBE level.

Values from the calculation:
Total magnetic moment   0.00 Bohr magnetons per cell

a b c (Å): 12.2056 3.6841 5.4974
angles (deg): 90.00 116.56 90.00
Last column: nearest neighbours and their distance in Å.
Space group C2/m (No. 12)
Asymmetric unit:
Dy 0.1094 0.0000 0.3655 (multiplicity 4)  3 H 2.11-2.13
Cd 0.1404 0.5000 0.8869 (multiplicity 4)  1 H 2.52
H 0.1971 0.5000 0.3873 (multiplicity 4)  3 Dy 2.11-2.13, 2 H 2.27


Stability check: which of them is most stable? C).


A) Below is DyHfCd after structural relaxation, with properties calculated at the GGA-PBE level.

Values from the calculation:
Total magnetic moment   0.00 Bohr magnetons per cell

a b c (Å): 3.7194 3.7194 24.0877
angles (deg): 90.00 90.00 90.00
Last column: nearest neighbours and their distance in Å.
Space group I4/mmm (No. 139)
Asymmetric unit:
Dy 0.0000 0.0000 0.1419 (multiplicity 4)  5 Hf 3.25-3.28, 4 Cd 3.31
Hf 0.0000 0.0000 0.2770 (multiplicity 4)  4 Hf 2.93, 5 Dy 3.25-3.28
Cd 0.0000 0.0000 0.4416 (multiplicity 4)  1 Cd 2.82


B) Below is DyHfCd after structural relaxation, with properties calculated at the GGA-PBE level.

Values from the calculation:
Total magnetic moment   0.00 Bohr magnetons per cell

a b c (Å): 3.3550 3.3550 13.1069
angles (deg): 90.00 90.00 90.00
Last column: nearest neighbours and their distance in Å.
Space group I4mm (No. 107)
Asymmetric unit:
Dy 0.0000 0.0000 0.0000 (multiplicity 2)  4 Hf 3.25, 4 Cd 3.32, 4 Dy 3.35
Hf 0.0000 0.0000 0.6698 (multiplicity 2)  4 Cd 3.11, 4 Dy 3.25, 4 Hf 3.35
Cd 0.0000 0.0000 0.3229 (multiplicity 2)  4 Hf 3.11, 4 Dy 3.32, 4 Cd 3.35


Stability check: which of them is most stable? B).


A) Below is Dy3Cd4Hg2 after structural relaxation, with properties calculated at the GGA-PBE level.

Values from the calculation:
Total magnetic moment   0.00 Bohr magnetons per cell

a b c (Å): 10.9826 4.9670 9.2243
angles (deg): 90.00 119.31 90.00
Last column: nearest neighbours and their distance in Å.
Space group C2/m (No. 12)
Asymmetric unit:
Dy 0.0000 0.0000 0.0000 (multiplicity 2)  8 Cd 3.30-3.36, 4 Hg 3.33, 2 Dy 3.43
Dy 0.1689 0.5000 0.6641 (multiplicity 4)  4 Hg 3.31-3.37, 8 Cd 3.33-3.36, 2 Dy 3.43-3.46
Cd 0.0503 0.0000 0.3850 (multiplicity 4)  1 Cd 2.83, 2 Hg 2.87
Cd 0.2249 0.5000 0.0554 (multiplicity 4)  2 Cd 2.84, 1 Hg 2.87
Hg 0.1098 0.5000 0.2760 (multiplicity 4)  3 Cd 2.87


B) Below is Dy3Cd4Hg2 after structural relaxation, with properties calculated at the GGA-PBE level.

Values from the calculation:
Total magnetic moment   0.00 Bohr magnetons per cell

a b c (Å): 8.1172 8.1172 3.8459
angles (deg): 90.00 90.00 120.00
Last column: nearest neighbours and their distance in Å.
Space group P-62m (No. 189)
Asymmetric unit:
Dy 0.0000 0.5988 0.0000 (multiplicity 3)  4 Hg 3.14, 7 Cd 3.26-3.46
Cd 0.0000 0.0000 0.0000 (multiplicity 1)  6 Cd 2.92, 3 Dy 3.26
Cd 0.0000 0.2704 0.5000 (multiplicity 3)  2 Cd 2.92, 2 Hg 2.99
Hg 0.3333 0.6667 0.5000 (multiplicity 2)  3 Cd 2.99, 6 Dy 3.14


Stability check: which of them is most stable? B).